# Dy3Be2Pt4 PBE relaxed
data_Dy3Be2Pt4
_cell_length_a 4.1797
_cell_length_b 5.5035
_cell_length_c 8.4023
_cell_angle_alpha 71.00
_cell_angle_beta 75.60
_cell_angle_gamma 67.68
_symmetry_space_group_name_H-M 'P 1'
_symmetry_Int_Tables_number 1
loop_
_symmetry_equiv_pos_as_xyz
'x,y,z'
loop_
_atom_site_label
_atom_site_type_symbol
_atom_site_fract_x
_atom_site_fract_y
_atom_site_fract_z
Dy1 Dy 0.3670 0.5734 0.6926
Dy2 Dy 0.0000 0.0000 0.0000
Dy3 Dy 0.6330 0.4266 0.3074
Be1 Be 0.3329 0.0021 0.3321
Be2 Be 0.6671 0.9979 0.6679
Pt1 Pt 0.2900 0.3362 0.0839
Pt2 Pt 0.7100 0.6638 0.9161
Pt3 Pt 0.1174 0.1896 0.5755
Pt4 Pt 0.8826 0.8104 0.4245
# V = 167 Å³/cell
# space-group type = C2/m, No. 12
# electronic total energy = -6.06 eV per atom
# density of states at the Fermi level = 4.888 states/eV per cell